1.
Material: LiMoO4
Method: DFT, PBE with a Hubbard U
State: relaxed

Calculated values
The total energy comes out at -74.75 eV/cell. Its crystal system is monoclinic.

Unit cell a=4.9064 b=4.8149 c=7.7085 alpha=106.08 beta=106.48 gamma=96.37
Last column: magnetic moment on the atom in μB.
Atoms (fractional coordinates):
O  0.4113  0.0807  0.8177  0.08
O  0.1420  0.8709  0.4007  0.39
O  0.8580  0.1291  0.5993  0.39
O  0.0936  0.2630  0.1823  0.08
O  0.2412  0.4702  0.5993  0.39
O  0.9064  0.7370  0.8177  0.08
O  0.5887  0.9193  0.1823  0.08
O  0.7588  0.5298  0.4007  0.39
Mo  0.9154  0.1654  0.3307  -0.12
Mo  0.0846  0.8346  0.6693  -0.12
Li  0.3800  0.6300  0.2599  0.00
Li  0.6200  0.3700  0.7401  0.00

2.
Material: Rb2V2InO6
Method: DFT, PBE with a Hubbard U
State: relaxed

Calculated values
The total energy comes out at -67.68 eV/cell. Its crystal system is trigonal.

Unit cell a=6.0900 b=6.0900 c=6.9482 alpha=64.01 beta=64.01 gamma=60.00
Last column: magnetic moment on the atom in μB.
Atoms (fractional coordinates):
Rb  0.7853  0.7853  0.6440  0.00
Rb  0.2147  0.2147  0.3560  0.00
O  0.7597  0.2635  0.2170  -0.02
O  0.7597  0.7597  0.2170  -0.02
O  0.2403  0.2403  0.7830  -0.02
O  0.2403  0.7365  0.7830  -0.02
O  0.7365  0.2403  0.7830  -0.02
O  0.2635  0.7597  0.2170  -0.02
In  0.0000  0.0000  0.0000  0.02
V  0.5825  0.5825  0.2524  0.55
V  0.4175  0.4175  0.7476  0.55

no.,V (Å³ per atom)
1,13.7
2,17.5